Run 1
Material: CdSeI3
Method: DFT, GGA-PBE
State: relaxed

Output
As for the symmetry: Pm-3m (221).

Structure (POSCAR):
```
CdSeI3
1.0
-2.646 -5.281 0.301
2.723 -1.071 5.139
-4.534 2.438 2.911
I Se Cd
3 1 1
Cartesian
1.362 -0.536 2.570
-2.267 1.219 1.455
-1.323 -2.640 0.151
-2.228 -1.957 4.176
0.000 0.000 0.000
```

Run 2
Material: CdSeI3
Method: DFT, GGA-PBE
State: relaxed

Output
As for the symmetry: Pm-3m (221).

Structure (POSCAR):
```
CdSeI3
1.0
5.775 0.000 0.000
0.000 5.775 0.000
0.000 0.000 5.775
I Se Cd
3 1 1
Cartesian
0.000 2.887 0.000
0.000 0.000 2.887
2.887 0.000 0.000
0.000 0.000 0.000
2.887 2.887 2.887
```

run 2 takes first place; second place is 0.146 eV/atom up.

Run 1
Material: Cd2SeI
Method: DFT, GGA-PBE
State: relaxed

Output
As for the symmetry: I-42d (122).

Structure (POSCAR):
```
Cd2SeI
1.0
-1.141 3.368 -5.642
-6.563 -0.866 0.810
-4.184 7.086 1.134
I Se Cd
2 2 4
Cartesian
0.000 0.000 0.000
-4.588 5.853 -3.463
-3.852 1.251 -2.416
-7.299 3.736 -0.236
-2.515 3.578 -2.824
-5.355 1.841 -0.234
-6.397 6.204 -0.916
-9.508 7.553 -3.424
```

Run 2
Material: Cd2SeI
Method: DFT, GGA-PBE
State: relaxed

Output
As for the symmetry: Fm-3m (225).

Structure (POSCAR):
```
Cd2SeI
1.0
0.000 3.743 3.743
3.743 0.000 3.743
3.743 3.743 0.000
I Se Cd
1 1 2
Cartesian
3.743 3.743 3.743
0.000 0.000 0.000
1.872 1.872 1.872
5.615 5.615 5.615
```

run 1 takes first place; second place is 0.321 eV/atom up.

Run 1
Material: CdSiI3
Method: DFT, GGA-PBE
State: relaxed

Output
As for the symmetry: Pm-3m (221).

Structure (POSCAR):
```
CdSiI3
1.0
-1.320 0.640 -5.439
3.596 -4.118 -1.357
-4.130 -3.790 0.557
I Si Cd
3 1 1
Cartesian
1.798 -2.059 -0.679
-2.065 -1.895 0.278
-0.660 0.320 -2.720
0.000 0.000 0.000
-0.927 -3.634 -3.120
```

Run 2
Material: CdSiI3
Method: DFT, GGA-PBE
State: relaxed

Output
As for the symmetry: Pm-3m (221).

Structure (POSCAR):
```
CdSiI3
1.0
-3.526 1.823 4.275
3.694 -2.157 3.966
2.820 5.104 0.149
I Si Cd
3 1 1
Cartesian
1.847 -1.078 1.983
1.410 2.552 0.074
-1.763 0.912 2.138
1.494 2.386 4.195
0.000 0.000 0.000
```

run 1 takes first place; second place is 0.345 eV/atom up.

Run 1
Material: CdSiI2
Method: DFT, GGA-PBE
State: relaxed

Output
As for the symmetry: I-42d (122).

Structure (POSCAR):
```
CdSiI2
1.0
8.905 0.000 0.000
0.000 8.905 0.000
4.452 4.452 6.330
I Si Cd
4 2 2
Cartesian
4.388 2.226 1.582
4.516 6.679 1.582
6.679 8.969 4.747
11.131 8.841 4.747
4.452 4.452 0.000
4.452 8.905 3.165
0.000 0.000 0.000
8.905 4.452 3.165
```

Run 2
Material: CdSiI2
Method: DFT, GGA-PBE
State: relaxed

Output
As for the symmetry: Fm-3m (225).

Structure (POSCAR):
```
CdSiI2
1.0
1.996 -4.261 -2.757
-2.892 -4.609 -0.363
-2.228 -1.453 -4.761
I Si Cd
2 1 1
Cartesian
-0.781 -2.581 -1.970
-2.343 -7.743 -5.911
0.000 0.000 0.000
-1.562 -5.162 -3.941
```

run 1 takes first place; second place is 0.210 eV/atom up.